A crystal of TaMn2H relaxed with PBEsol. Source: the Alexandria database, functional SCAN.

a = 4.050 Å, b = 4.050 Å, c = 4.050 Å
α = 60.00°, β = 60.00°, γ = 60.00°
Site moments in Bohr magnetons follow the coordinates.
Sites, in units of the cell vectors:
H (0.000, 0.000, 0.000)  0.00
Mn (0.750, 0.750, 0.750)  2.37
Mn (0.250, 0.250, 0.250)  2.37
Ta (0.500, 0.500, 0.500)  -0.78

Results
electronic total energy	-25.960	eV per atom
density	10.3	Mg/m³